Record 1
DFT (meta-GGA SCAN) results for a PBEsol-optimized structure of ScAgRu2.

Structure (POSCAR):
```
ScAgRu2
1.0
2.748 0.000 0.000
0.000 2.748 0.000
0.000 0.000 8.200
Ag Ru Sc
1 2 1
Cartesian
1.374 1.374 4.100
0.000 0.000 2.032
0.000 0.000 6.167
1.374 1.374 0.000
```

Calculated values
Relative energy among the computed polymorphs ... 0.52 eV per formula unit
E_form ... 26 kJ/mol of atoms
N(E_F) ... 1.58 states/eV/atom
Mass density ... 9.5 g/cm³

---

Record 2
DFT (meta-GGA SCAN) results for a PBEsol-optimized structure of Cu2BiO2.

Structure (POSCAR):
```
Cu2BiO2
1.0
3.403 0.000 0.000
0.000 3.403 0.000
-1.701 -1.701 5.335
Cu Bi O
2 1 2
Cartesian
0.000 1.701 2.668
1.701 0.000 2.668
0.000 0.000 0.000
0.000 0.000 4.028
1.701 1.701 1.308
```

Calculated values
Energy relative to the elements, uncorrected ... -0.11 eV per atom
N(E_F) ... 0.27 states/eV/atom
Mass density ... 9.9 g/cm³